Record 1
# Si2TePt PBEsol optimized geometry
# * Fermi-level density of states: 0.59 states/eV per atom
# * uncorrected formation energy: 0.3961 eV/atom
data_Si2TePt
_cell_length_a 6.5475
_cell_length_b 6.5475
_cell_length_c 6.5475
_cell_angle_alpha 90.00
_cell_angle_beta 90.00
_cell_angle_gamma 90.00
_space_group_name_H-M_alt 'F m -3 m'
_space_group_IT_number 225
_space_group_name_Hall '-F 4 2 3'
loop_
_atom_site_label
_atom_site_fract_x
_atom_site_fract_y
_atom_site_fract_z
Si1 0.2500 0.2500 0.2500
Te1 0.0000 0.0000 0.0000
Pt1 0.0000 0.0000 0.5000


Record 2
# ThSi2Pt2 PBEsol optimized geometry
# * Fermi-level density of states: 0.32 states/eV per atom
# * uncorrected formation energy: -1.1848 eV/atom
data_ThSi2Pt2
_cell_length_a 4.2494
_cell_length_b 4.2494
_cell_length_c 9.7287
_cell_angle_alpha 90.00
_cell_angle_beta 90.00
_cell_angle_gamma 90.00
_space_group_name_H-M_alt 'P 4/n m m'
_space_group_IT_number 129
loop_
_space_group_symop_operation_xyz
'x,y,z'
'-x,-y,-z'
'-y+1/2,x,z'
'y+1/2,-x,-z'
'-x+1/2,-y+1/2,z'
'x+1/2,y+1/2,-z'
'y,-x+1/2,z'
'-y,x+1/2,-z'
'x+1/2,-y,-z'
'-x+1/2,y,z'
'-y,-x,-z'
'y,x,z'
'-x,y+1/2,-z'
'x,-y+1/2,z'
'y+1/2,x+1/2,-z'
'-y+1/2,-x+1/2,z'
loop_
_atom_site_label
_atom_site_fract_x
_atom_site_fract_y
_atom_site_fract_z
Th1 0.2500 0.2500 0.2492
Si1 0.2500 0.2500 0.6321
Si2 0.2500 0.7500 0.0000
Pt1 0.2500 0.2500 0.8806
Pt2 0.2500 0.7500 0.5000


Record 3
# ThSiPt PBEsol optimized geometry
# * Fermi-level density of states: 0.81 states/eV per atom
# * uncorrected formation energy: -1.1925 eV/atom
data_ThSiPt
_cell_length_a 4.1240
_cell_length_b 4.1240
_cell_length_c 14.6666
_cell_angle_alpha 90.00
_cell_angle_beta 90.00
_cell_angle_gamma 90.00
_space_group_name_H-M_alt 'I 41 m d'
_space_group_IT_number 109
_space_group_name_Hall 'I 4bw -2'
loop_
_atom_site_label
_atom_site_fract_x
_atom_site_fract_y
_atom_site_fract_z
Th1 0.0000 0.0000 0.0000
Si1 0.0000 0.0000 0.5805
Pt1 0.0000 0.0000 0.4145


Record 4
# Ti2Si2Pt PBEsol optimized geometry
# * Fermi-level density of states: 0.54 states/eV per atom
# * uncorrected formation energy: -0.9604 eV/atom
data_Ti2Si2Pt
_cell_length_a 6.1742
_cell_length_b 6.1742
_cell_length_c 3.7905
_cell_angle_alpha 90.00
_cell_angle_beta 90.00
_cell_angle_gamma 90.00
_space_group_name_H-M_alt 'P 4/m b m'
_space_group_IT_number 127
_space_group_name_Hall '-P 4 2ab'
loop_
_atom_site_label
_atom_site_fract_x
_atom_site_fract_y
_atom_site_fract_z
Ti1 0.1675 0.3325 0.0000
Si1 0.1324 0.6324 0.5000
Pt1 0.0000 0.0000 0.5000


Record 5
# TlSi2Pt PBEsol optimized geometry
# * Fermi-level density of states: 0.50 states/eV per atom
# * uncorrected formation energy: 0.0463 eV/atom
data_TlSi2Pt
_cell_length_a 3.0974
_cell_length_b 3.0974
_cell_length_c 7.5748
_cell_angle_alpha 90.00
_cell_angle_beta 90.00
_cell_angle_gamma 90.00
_space_group_name_H-M_alt 'P 4 m m'
_space_group_IT_number 99
loop_
_space_group_symop_operation_xyz
'x,y,z'
'-y,x,z'
'-x,-y,z'
'y,-x,z'
'-x,y,z'
'y,x,z'
'x,-y,z'
'-y,-x,z'
loop_
_atom_site_label
_atom_site_fract_x
_atom_site_fract_y
_atom_site_fract_z
Tl1 0.0000 0.0000 0.0000
Si1 0.0000 0.0000 0.4669
Si2 0.5000 0.5000 0.6655
Pt1 0.5000 0.5000 0.3118


Record 6
# TlSiPt5 PBEsol optimized geometry
# * Fermi-level density of states: 0.52 states/eV per atom
# * uncorrected formation energy: -0.3489 eV/atom
data_TlSiPt5
_cell_length_a 3.9527
_cell_length_b 3.9527
_cell_length_c 7.1387
_cell_angle_alpha 90.00
_cell_angle_beta 90.00
_cell_angle_gamma 90.00
_space_group_name_H-M_alt 'P 4/m m m'
_space_group_IT_number 123
_space_group_name_Hall '-P 4 2'
loop_
_atom_site_label
_atom_site_fract_x
_atom_site_fract_y
_atom_site_fract_z
Tl1 0.0000 0.0000 0.0000
Si1 0.5000 0.5000 0.5000
Pt1 0.0000 0.5000 0.2998
Pt2 0.5000 0.5000 0.0000


Record 7
# Tl3SiPt PBEsol optimized geometry
# * Fermi-level density of states: 0.23 states/eV per atom
# * uncorrected formation energy: 0.7780 eV/atom
data_Tl3SiPt
_cell_length_a 5.0744
_cell_length_b 5.0744
_cell_length_c 5.0744
_cell_angle_alpha 90.00
_cell_angle_beta 90.00
_cell_angle_gamma 90.00
_space_group_name_H-M_alt 'P m -3 m'
_space_group_IT_number 221
_space_group_name_Hall '-P 4 2 3'
loop_
_atom_site_label
_atom_site_fract_x
_atom_site_fract_y
_atom_site_fract_z
Tl1 0.0000 0.0000 0.5000
Si1 0.0000 0.0000 0.0000
Pt1 0.5000 0.5000 0.5000


Record 8
# Tm3Si11Pt23 PBEsol optimized geometry
# * Fermi-level density of states: 0.35 states/eV per atom
# * uncorrected formation energy: -0.8887 eV/atom
data_Tm3Si11Pt23
_cell_length_a 16.7738
_cell_length_b 16.7738
_cell_length_c 16.7738
_cell_angle_alpha 90.00
_cell_angle_beta 90.00
_cell_angle_gamma 90.00
_space_group_name_H-M_alt 'F m -3 m'
_space_group_IT_number 225
_space_group_name_Hall '-F 4 2 3'
loop_
_atom_site_label
_atom_site_fract_x
_atom_site_fract_y
_atom_site_fract_z
Tm1 0.0000 0.2500 0.2500
Si1 0.0000 0.0000 0.1711
Si2 0.1062 0.1062 0.3938
Si3 0.1654 0.1654 0.1654
Pt1 0.0000 0.0000 0.3748
Pt2 0.0830 0.0830 0.0830
Pt3 0.0846 0.0846 0.2522
Pt4 0.1917 0.1917 0.3083


Record 9
# TmSiPt2 PBEsol optimized geometry
# * Fermi-level density of states: 0.37 states/eV per atom
# * uncorrected formation energy: -1.2260 eV/atom
data_TmSiPt2
_cell_length_a 7.1570
_cell_length_b 6.9055
_cell_length_c 5.3932
_cell_angle_alpha 90.00
_cell_angle_beta 90.00
_cell_angle_gamma 90.00
_space_group_name_H-M_alt 'P n m a'
_space_group_IT_number 62
loop_
_space_group_symop_operation_xyz
'x,y,z'
'-x,-y,-z'
'-x+1/2,-y,z+1/2'
'x+1/2,y,-z+1/2'
'x+1/2,-y+1/2,-z+1/2'
'-x+1/2,y+1/2,z+1/2'
'-x,y+1/2,-z'
'x,-y+1/2,z'
loop_
_atom_site_label
_atom_site_fract_x
_atom_site_fract_y
_atom_site_fract_z
Tm1 0.0258 0.2500 0.1337
Si1 0.1181 0.7500 0.3659
Pt1 0.1828 0.0506 0.5916


Record 10
# SiPtW2 PBEsol optimized geometry
# * Fermi-level density of states: 0.53 states/eV per atom
# * uncorrected formation energy: -0.0192 eV/atom
data_SiPtW2
_cell_length_a 2.7769
_cell_length_b 2.7769
_cell_length_c 26.4954
_cell_angle_alpha 90.00
_cell_angle_beta 90.00
_cell_angle_gamma 120.00
_space_group_name_H-M_alt 'R -3 m'
_space_group_IT_number 166
_space_group_name_Hall '-R 3 2"'
loop_
_atom_site_label
_atom_site_fract_x
_atom_site_fract_y
_atom_site_fract_z
Si1 0.0000 0.0000 0.0000
Pt1 0.0000 0.0000 0.5000
W1 0.0000 0.0000 0.2524


Record 11
# SiPtW2 PBEsol optimized geometry
# * Fermi-level density of states: 0.93 states/eV per atom
# * uncorrected formation energy: 0.0176 eV/atom
data_SiPtW2
_cell_length_a 2.7360
_cell_length_b 2.7360
_cell_length_c 7.8643
_cell_angle_alpha 90.00
_cell_angle_beta 90.00
_cell_angle_gamma 90.00
_space_group_name_H-M_alt 'P 4 m m'
_space_group_IT_number 99
loop_
_space_group_symop_operation_xyz
'x,y,z'
'-y,x,z'
'-x,-y,z'
'y,-x,z'
'-x,y,z'
'y,x,z'
'x,-y,z'
'-y,-x,z'
loop_
_atom_site_label
_atom_site_fract_x
_atom_site_fract_y
_atom_site_fract_z
Si1 0.0000 0.0000 0.0000
Pt1 0.5000 0.5000 0.7695
W1 0.0000 0.0000 0.5103
W2 0.5000 0.5000 0.2381


Record 12
# SiPtW PBEsol optimized geometry
# * Fermi-level density of states: 1.60 states/eV per atom
# * uncorrected formation energy: 0.0831 eV/atom
data_SiPtW
_cell_length_a 5.7498
_cell_length_b 5.7498
_cell_length_c 5.7498
_cell_angle_alpha 90.00
_cell_angle_beta 90.00
_cell_angle_gamma 90.00
_space_group_name_H-M_alt 'F -4 3 m'
_space_group_IT_number 216
_space_group_name_Hall 'F -4 2 3'
loop_
_atom_site_label
_atom_site_fract_x
_atom_site_fract_y
_atom_site_fract_z
Si1 0.0000 0.0000 0.0000
Pt1 0.2500 0.2500 0.7500
W1 0.2500 0.2500 0.2500